# PBE KLaAs3, optimized geometry
data_KLaAs3
_cell_length_a 5.267
_cell_length_b 5.267
_cell_length_c 5.267
_cell_angle_alpha 90.00
_cell_angle_beta 90.00
_cell_angle_gamma 90.00
_symmetry_space_group_name_H-M 'P 1'
_symmetry_Int_Tables_number 1
loop_
_symmetry_equiv_pos_as_xyz
'x,y,z'
loop_
_atom_site_label
_atom_site_fract_x
_atom_site_fract_y
_atom_site_fract_z
K1 0.000 0.000 0.000
La1 0.500 0.500 0.500
As1 0.000 0.000 0.500
As2 0.000 0.500 0.000
As3 0.500 0.000 0.000
# Calculated total energy in eV for the cell shown: -17.21
# E above lowest polymorph in meV/atom: 538
# Energy of formation from the pure elements in eV per atom: 0.552
# Space group: Pm-3m, No. 221